w) Material: NaLiZr3
Method: DFT, PBE
State: relaxed

Unit cell a=4.9194 b=4.9194 c=4.9194 alpha=90.00 beta=90.00 gamma=90.00
Atoms (fractional coordinates):
1 Na 0.5000 0.5000 0.5000
2 Zr 0.0000 0.5000 0.0000
3 Zr 0.0000 0.0000 0.5000
4 Zr 0.5000 0.0000 0.0000
5 Li 0.0000 0.0000 0.0000



x) Material: NaLiZr3
Method: DFT, PBE
State: relaxed

Unit cell a=5.0951 b=5.0951 c=5.0951 alpha=90.00 beta=90.00 gamma=90.00
Atoms (fractional coordinates):
1 Na 0.0000 0.0000 0.0000
2 Zr 0.0000 0.5000 0.0000
3 Zr 0.0000 0.0000 0.5000
4 Zr 0.5000 0.0000 0.0000
5 Li 0.5000 0.5000 0.5000



Least stable structure: x)



w) Material: NaLi2Zr
Method: DFT, PBE
State: relaxed

Unit cell a=3.0298 b=3.0298 c=11.9551 alpha=82.72 beta=82.72 gamma=60.00
Atoms (fractional coordinates):
1 Na 0.5000 0.5000 0.5000
2 Zr 0.0000 0.0000 0.0000
3 Li 0.0822 0.0822 0.7533
4 Li 0.9178 0.9178 0.2467



x) Material: NaLi2Zr
Method: DFT, PBE
State: relaxed

Unit cell a=7.5453 b=7.5453 c=6.1898 alpha=52.45 beta=52.45 gamma=90.00
Atoms (fractional coordinates):
1 Na 0.5000 0.5000 0.0000
2 Na 0.2500 0.7500 0.5000
3 Zr 0.0000 0.0000 0.0000
4 Zr 0.7500 0.2500 0.5000
5 Li 0.6044 0.1250 0.2500
6 Li 0.1456 0.6250 0.2500
7 Li 0.3750 0.3956 0.7500
8 Li 0.8750 0.8544 0.7500



Least stable structure: x)



w) Material: LiNb
Method: DFT, PBE
State: relaxed

Unit cell a=4.3965 b=4.3965 c=3.1794 alpha=90.00 beta=90.00 gamma=90.00
Atoms (fractional coordinates):
1 Li 0.0000 0.0000 0.5000
2 Li 0.5000 0.5000 0.5000
3 Nb 0.0000 0.5000 0.0106
4 Nb 0.5000 0.0000 0.9894



x) Material: LiNb
Method: DFT, PBE
State: relaxed

Unit cell a=2.6733 b=20.8924 c=10.1290 alpha=90.00 beta=90.00 gamma=90.00
Atoms (fractional coordinates):
1 Li 0.0000 0.0000 0.8730
2 Li 0.0000 0.0000 0.1270
3 Li 0.2500 0.7500 0.3770
4 Li 0.2500 0.7500 0.1230
5 Li 0.0000 0.5000 0.3730
6 Li 0.0000 0.5000 0.6270
7 Li 0.2500 0.2500 0.8770
8 Li 0.2500 0.2500 0.6230
9 Li 0.5000 0.0000 0.3730
10 Li 0.5000 0.0000 0.6270
11 Li 0.7500 0.7500 0.8770
12 Li 0.7500 0.7500 0.6230
13 Li 0.5000 0.5000 0.8730
14 Li 0.5000 0.5000 0.1270
15 Li 0.7500 0.2500 0.3770
16 Li 0.7500 0.2500 0.1230
17 Nb 0.0000 0.3776 0.0000
18 Nb 0.0000 0.6224 0.0000
19 Nb 0.2500 0.3724 0.2500
20 Nb 0.2500 0.1276 0.2500
21 Nb 0.0000 0.8776 0.5000
22 Nb 0.0000 0.1224 0.5000
23 Nb 0.2500 0.8724 0.7500
24 Nb 0.2500 0.6276 0.7500
25 Nb 0.5000 0.3776 0.5000
26 Nb 0.5000 0.6224 0.5000
27 Nb 0.7500 0.3724 0.7500
28 Nb 0.7500 0.1276 0.7500
29 Nb 0.5000 0.8776 0.0000
30 Nb 0.5000 0.1224 0.0000
31 Nb 0.7500 0.8724 0.2500
32 Nb 0.7500 0.6276 0.2500



y) Material: LiNb
Method: DFT, PBE
State: relaxed

Unit cell a=9.6583 b=9.6583 c=2.8348 alpha=90.00 beta=90.00 gamma=120.00
Atoms (fractional coordinates):
1 Li 0.6999 0.8905 0.2500
2 Li 0.8093 0.6999 0.7500
3 Li 0.1095 0.8093 0.2500
4 Li 0.3001 0.1095 0.7500
5 Li 0.1907 0.3001 0.2500
6 Li 0.8905 0.1907 0.7500
7 Nb 0.8592 0.4421 0.2500
8 Nb 0.4170 0.8592 0.7500
9 Nb 0.5579 0.4170 0.2500
10 Nb 0.1408 0.5579 0.7500
11 Nb 0.5830 0.1408 0.2500
12 Nb 0.4421 0.5830 0.7500



Least stable structure: w)



w) Material: LiNbNi4
Method: DFT, PBE
State: relaxed

Unit cell a=3.8903 b=6.5034 c=7.3779 alpha=90.00 beta=90.00 gamma=127.08
Atoms (fractional coordinates):
1 Li 0.5000 0.2500 0.2500
2 Li 0.5000 0.7500 0.7500
3 Nb 0.0000 0.2500 0.7500
4 Nb 0.0000 0.7500 0.2500
5 Ni 0.2376 0.4878 0.0884
6 Ni 0.2376 0.4878 0.4115
7 Ni 0.7624 0.0122 0.0884
8 Ni 0.7624 0.5122 0.5885
9 Ni 0.7624 0.0122 0.4115
10 Ni 0.2376 0.9878 0.9116
11 Ni 0.2376 0.9878 0.5885
12 Ni 0.7624 0.5122 0.9116



x) Material: LiNbNi4
Method: DFT, PBE
State: relaxed

Unit cell a=4.7224 b=4.7224 c=4.7224 alpha=60.00 beta=60.00 gamma=60.00
Atoms (fractional coordinates):
1 Ni 0.6245 0.6245 0.1266
2 Ni 0.6245 0.1266 0.6245
3 Ni 0.6245 0.6245 0.6245
4 Ni 0.1266 0.6245 0.6245
5 Nb 0.0000 0.0000 0.0000
6 Li 0.2500 0.2500 0.2500



Least stable structure: w)



w) Material: LiNb2Ni2
Method: DFT, PBE
State: relaxed

Unit cell a=7.5830 b=7.5830 c=2.6837 alpha=90.00 beta=90.00 gamma=90.00
Atoms (fractional coordinates):
1 Ni 0.1324 0.6324 0.5000
2 Ni 0.6324 0.8676 0.5000
3 Ni 0.8676 0.3676 0.5000
4 Ni 0.3676 0.1324 0.5000
5 Nb 0.3395 0.8395 0.0000
6 Nb 0.8395 0.6605 0.0000
7 Nb 0.6605 0.1605 0.0000
8 Nb 0.1605 0.3395 0.0000
9 Li 0.0000 0.0000 0.0000
10 Li 0.5000 0.5000 0.0000



x) Material: LiNb2Ni2
Method: DFT, PBE
State: relaxed

Unit cell a=7.4569 b=7.4569 c=2.7404 alpha=90.00 beta=90.00 gamma=90.00
Atoms (fractional coordinates):
1 Ni 0.3738 0.8738 0.0000
2 Ni 0.8738 0.6262 0.0000
3 Ni 0.6262 0.1262 0.0000
4 Ni 0.1262 0.3738 0.0000
5 Nb 0.1674 0.6674 0.5000
6 Nb 0.6674 0.8326 0.5000
7 Nb 0.8326 0.3326 0.5000
8 Nb 0.3326 0.1674 0.5000
9 Li 0.0000 0.0000 0.0000
10 Li 0.5000 0.5000 0.0000



Least stable structure: w)



w) Material: Li3NbNi
Method: DFT, PBE
State: relaxed

Unit cell a=4.2125 b=4.2125 c=4.2125 alpha=90.00 beta=90.00 gamma=90.00
Atoms (fractional coordinates):
1 Ni 0.0000 0.0000 0.0000
2 Nb 0.5000 0.5000 0.5000
3 Li 0.0000 0.5000 0.0000
4 Li 0.0000 0.0000 0.5000
5 Li 0.5000 0.0000 0.0000



x) Material: Li3NbNi
Method: DFT, PBE
State: relaxed

Unit cell a=4.8572 b=4.8572 c=4.8572 alpha=90.00 beta=90.00 gamma=90.00
Atoms (fractional coordinates):
1 Ni 0.5000 0.5000 0.5000
2 Nb 0.0000 0.0000 0.0000
3 Li 0.0000 0.5000 0.0000
4 Li 0.0000 0.0000 0.5000
5 Li 0.5000 0.0000 0.0000



Least stable structure: x)